Material: Pr2GaH
Method: DFT, PBE
State: optimized geometry

Calculated values
- M_tot (μB/cell) = 0.00
- DFT total energy (eV/atom) = -3.976
- ρ (g/cm³) = 5.9

Structure (CIF):
```
data_Pr2GaH
_symmetry_space_group_name_H-M 'R -3 m'
_symmetry_Int_Tables_number 166
_symmetry_space_group_name_Hall '-R 3 2"'
_cell_length_a 3.4768
_cell_length_b 3.4768
_cell_length_c 28.2620
_cell_angle_alpha 90.00
_cell_angle_beta 90.00
_cell_angle_gamma 120.00
loop_
_atom_site_label
_atom_site_fract_x
_atom_site_fract_y
_atom_site_fract_z
_atom_site_occupancy
Pr1 0.0000 0.0000 0.1101 1
Ga1 0.0000 0.0000 0.0000 1
H1 0.0000 0.0000 0.5000 1
```